DFT (PBE+U) results for a relaxed structure of SrTa2MoO8.

abc: 5.1688 5.1855 7.0235
angles: 82.37 81.99 77.83
Last column: nearest neighbours and their distance in Å.
Fractional positions:
Sr (0.0000, 0.0000, 0.0000)  6 O 2.50-2.72
Ta (0.4360, 0.4363, 0.2334)  4 O 1.87-1.92
Ta (0.5640, 0.5637, 0.7666)  4 O 1.87-1.92
Mo (0.0000, 0.0000, 0.5000)  6 O 2.00-2.12
O (0.2237, 0.7663, 0.7144)  1 Ta 1.91, 1 Mo 2.12
O (0.2296, 0.7782, 0.2887)  1 Ta 1.92, 1 Mo 2.08
O (0.2488, 0.2540, 0.4367)  1 Ta 1.87, 1 Mo 2.00
O (0.3395, 0.3328, 0.0099)  1 Ta 1.89
O (0.6605, 0.6672, 0.9901)  1 Ta 1.89
O (0.7512, 0.7460, 0.5633)  1 Ta 1.87, 1 Mo 2.00
O (0.7704, 0.2218, 0.7113)  1 Ta 1.92, 1 Mo 2.08
O (0.7763, 0.2337, 0.2856)  1 Ta 1.91, 1 Mo 2.12

Calculated values
SG   P-1 (2)
Raw total energy   -102.91 eV for the cell shown